No. 1
Pa3Sb4Pd2 PBE-GGA relaxed; total energy = -6.59 eV per atom; E_form (uncorrected) = -0.44 eV per atom
1.0
6.7203 -5.4306 0.0000
6.7203 5.4306 0.0000
-0.1915 0.0000 6.1511
Pa Sb Pd
6 8 4
Direct
0.1285 0.8715 0.7500
0.2097 0.4735 0.4838
0.4735 0.2097 0.9838
0.5265 0.7903 0.0162
0.7903 0.5265 0.5162
0.8715 0.1285 0.2500
0.0432 0.2261 0.6879
0.2261 0.0432 0.1879
0.2749 0.5521 0.9847
0.4479 0.7251 0.5153
0.5521 0.2749 0.4847
0.7251 0.4479 0.0153
0.7739 0.9568 0.8121
0.9568 0.7739 0.3121
0.0652 0.3524 0.1048
0.3524 0.0652 0.6048
0.6476 0.9348 0.3952
0.9348 0.6476 0.8952

---

No. 2
CuHg2As PBE-GGA relaxed; total energy = -2.17 eV per atom
1.0
3.0195 0.0000 0.0000
0.0000 3.0195 0.0000
0.0000 0.0000 9.6540
Cu Hg As
1 2 1
Direct
0.0000 0.0000 0.0000
0.0000 0.0000 0.5400
0.5000 0.5000 0.2277
0.5000 0.5000 0.8584

---

No. 3
TaZnIr3 PBE-GGA relaxed; total energy = -6.52 eV per atom; energy above the most stable polymorph in this dataset = 6.42 eV per formula unit
1.0
4.7785 0.0000 0.0000
0.0000 4.7785 0.0000
0.0000 0.0000 4.7785
Ta Zn Ir
1 1 3
Direct
0.0000 0.0000 0.0000
0.5000 0.5000 0.5000
0.0000 0.0000 0.5000
0.0000 0.5000 0.0000
0.5000 0.0000 0.0000

---

No. 4
CeGaSi2 PBE-GGA relaxed; total energy = -4.58 eV per atom; E_form (uncorrected) = 0.37 eV per atom
1.0
2.4056 1.3889 6.2691
-2.4056 1.3889 6.2691
0.0000 -2.7777 6.2691
Ce Ga Si
1 1 2
Direct
0.0000 0.0000 0.0000
0.5000 0.5000 0.5000
0.3768 0.3768 0.3768
0.6232 0.6232 0.6232

---

No. 5
CeSmRhAu PBE-GGA relaxed; total energy = -5.97 eV per atom; energy above the most stable polymorph in this dataset = 0.47 eV per formula unit
1.0
0.0000 3.5932 3.5932
3.5932 0.0000 3.5932
3.5932 3.5932 0.0000
Ce Sm Rh Au
1 1 1 1
Direct
0.0000 0.0000 0.0000
0.5000 0.5000 0.5000
0.2500 0.2500 0.2500
0.7500 0.7500 0.7500

---

No. 6
PmSmTlRu PBE-GGA relaxed; total energy = -5.59 eV per atom; energy above the most stable polymorph in this dataset = 0.00 eV per formula unit
1.0
3.4462 0.0000 0.0000
0.0000 3.4462 0.0000
0.0000 0.0000 8.6203
Pm Sm Tl Ru
1 1 1 1
Direct
0.0000 0.0000 0.0000
0.0000 0.0000 0.5986
0.5000 0.5000 0.3004
0.5000 0.5000 0.7977

---

- Which of these has the lowest total energy?
  Pa3Sb4Pd2